1.
! PBE-GGA BaSe2F, relaxed; values from VASP
&SYSTEM
  ibrav = 0, nat = 4, ntyp = 3
/
ATOMIC_SPECIES
Se 78.96 Se.upf
F 19.00 F.upf
Ba 137.33 Ba.upf
ATOMIC_POSITIONS crystal
Se 0.808 0.808 0.808
Se 0.192 0.192 0.192
F 0.500 0.500 0.500
Ba 0.000 0.000 0.000
CELL_PARAMETERS angstrom
2.814 0.000 5.286
-1.407 2.437 5.286
-1.407 -2.437 5.286
! * E_tot: -15.03 eV for the cell shown

=====

2.
! PBE-GGA BaSeF6, relaxed; values from VASP
&SYSTEM
  ibrav = 0, nat = 8, ntyp = 3
/
ATOMIC_SPECIES
F 19.00 F.upf
Se 78.96 Se.upf
Ba 137.33 Ba.upf
ATOMIC_POSITIONS crystal
F 0.089 0.592 0.231
F 0.089 0.089 0.231
F 0.911 0.408 0.769
F 0.408 0.911 0.769
F 0.911 0.911 0.769
F 0.592 0.089 0.231
Se 0.000 0.000 0.000
Ba 0.500 0.500 0.500
CELL_PARAMETERS angstrom
-4.928 -0.366 2.177
-0.559 -0.487 5.349
-2.012 4.861 2.958
! * E_tot: -36.32 eV for the cell shown

=====

3.
! PBE-GGA Ba3SeF3, relaxed; values from VASP
&SYSTEM
  ibrav = 0, nat = 14, ntyp = 3
/
ATOMIC_SPECIES
Se 78.96 Se.upf
F 19.00 F.upf
Ba 137.33 Ba.upf
ATOMIC_POSITIONS crystal
Se 0.333 0.333 0.000
Se 0.667 0.667 0.000
F 0.460 0.794 0.619
F 0.794 0.127 0.619
F 0.873 0.540 0.381
F 0.127 0.460 0.619
F 0.206 0.873 0.381
F 0.540 0.206 0.381
Ba 0.243 0.583 0.262
Ba 0.417 0.087 0.738
Ba 0.757 0.417 0.738
Ba 0.913 0.243 0.262
Ba 0.087 0.757 0.738
Ba 0.583 0.913 0.262
CELL_PARAMETERS angstrom
7.857 0.000 0.000
3.929 6.805 0.000
3.929 2.268 7.548
! * E_tot: -71.95 eV for the cell shown

=====

4.
! PBE-GGA BaSe3F, relaxed; values from VASP
&SYSTEM
  ibrav = 0, nat = 5, ntyp = 3
/
ATOMIC_SPECIES
Se 78.96 Se.upf
Ba 137.33 Ba.upf
F 19.00 F.upf
ATOMIC_POSITIONS crystal
Se 0.500 0.000 0.000
Se 0.000 0.500 0.000
Se 0.000 0.000 0.500
Ba 0.500 0.500 0.500
F 0.000 0.000 0.000
CELL_PARAMETERS angstrom
-1.217 -4.530 -1.312
4.552 -0.775 -1.548
1.231 -1.613 4.428
! * E_tot: -17.82 eV for the cell shown

=====

5.
! PBE-GGA BaSe2F, relaxed; values from VASP
&SYSTEM
  ibrav = 0, nat = 8, ntyp = 3
/
ATOMIC_SPECIES
Se 78.96 Se.upf
F 19.00 F.upf
Ba 137.33 Ba.upf
ATOMIC_POSITIONS crystal
Se 0.375 0.375 0.750
Se 0.125 0.625 0.250
Se 0.625 0.125 0.250
Se 0.875 0.875 0.750
F 0.250 0.750 0.500
F 0.500 0.500 0.000
Ba 0.750 0.250 0.500
Ba 0.000 0.000 0.000
CELL_PARAMETERS angstrom
-2.691 2.807 0.589
-2.546 -1.967 -2.262
-6.818 -5.717 9.225
! * E_tot: -35.92 eV for the cell shown

=====

6.
! PBE-GGA BaSeF6, relaxed; values from VASP
&SYSTEM
  ibrav = 0, nat = 8, ntyp = 3
/
ATOMIC_SPECIES
F 19.00 F.upf
Se 78.96 Se.upf
Ba 137.33 Ba.upf
ATOMIC_POSITIONS crystal
F 0.653 0.280 0.932
F 0.000 0.928 0.280
F 0.347 0.720 0.068
F 0.353 0.281 0.280
F 0.647 0.719 0.720
F 0.000 0.072 0.720
Se 0.000 0.000 0.000
Ba 0.000 0.500 0.500
CELL_PARAMETERS angstrom
4.355 0.413 -2.490
-0.321 4.910 -1.060
-1.244 -0.099 6.497
! * E_tot: -37.00 eV for the cell shown